3
Lattice="2.869 0.000 0.000 -1.434 2.484 0.000 0.000 0.000 7.252" Properties=species:S:1:pos:R:3 comment="Cd2Os | Alexandria via LeMat-Bulk | GGA-PBEsol | relaxed" magmom_total_mub_per_cell=0.0 formation_enthalpy_0k_ev_per_atom=0.521 total_energy_ev_per_cell=-13.0 mass_density_g_cm3=13.33 pbc="T T T"
Cd 0.000 1.656 1.312
Cd 1.434 0.828 5.939
Os 0.000 0.000 3.626